1.
Compound: CsCa2ScF8
Source: Alexandria via LeMat-Bulk
Functional: GGA-PBE
Structure: optimized geometry

```
data_CsCa2ScF8
_cell_length_a 5.303
_cell_length_b 5.305
_cell_length_c 7.592
_cell_angle_alpha 89.11
_cell_angle_beta 88.72
_cell_angle_gamma 88.04
_space_group_name_H-M_alt 'P -1'
_space_group_IT_number 2
loop_
_space_group_symop_operation_xyz
'x,y,z'
'-x,-y,-z'
loop_
_atom_site_label
_atom_site_type_symbol
_atom_site_fract_x
_atom_site_fract_y
_atom_site_fract_z
Cs1 Cs 0.000 0.000 0.000
Ca1 Ca 0.497 0.498 0.253
Sc1 Sc 0.000 0.000 0.500
F1 F 0.215 0.813 0.681
F2 F 0.226 0.825 0.316
F3 F 0.262 0.293 0.500
F4 F 0.286 0.416 0.004
```

2.
Compound: SnSb2Pd2
Source: Alexandria via LeMat-Bulk
Functional: GGA-PBE
Structure: optimized geometry

Calculated values
Polymorph energy (0 for the lowest one) (meV/atom): 129.4

```
data_SnSb2Pd2
_cell_length_a 4.495
_cell_length_b 4.495
_cell_length_c 11.647
_cell_angle_alpha 90.00
_cell_angle_beta 90.00
_cell_angle_gamma 90.00
_space_group_name_H-M_alt 'I 4/m m m'
_space_group_IT_number 139
_space_group_name_Hall '-I 4 2'
loop_
_atom_site_label
_atom_site_type_symbol
_atom_site_fract_x
_atom_site_fract_y
_atom_site_fract_z
Sn1 Sn 0.000 0.000 0.000
Sb1 Sb 0.000 0.500 0.250
Pd1 Pd 0.000 0.000 0.384
```

3.
Compound: NpTiO5
Source: Alexandria via LeMat-Bulk
Functional: GGA-PBE
Structure: optimized geometry

```
data_NpTiO5
_cell_length_a 3.717
_cell_length_b 6.456
_cell_length_c 7.911
_cell_angle_alpha 90.00
_cell_angle_beta 90.00
_cell_angle_gamma 90.00
_space_group_name_H-M_alt 'I m m m'
_space_group_IT_number 71
_space_group_name_Hall '-I 2 2'
loop_
_atom_site_label
_atom_site_type_symbol
_atom_site_fract_x
_atom_site_fract_y
_atom_site_fract_z
Np1 Np 0.000 0.000 0.000
Ti1 Ti 0.000 0.000 0.500
O1 O 0.000 0.000 0.236
O2 O 0.000 0.304 0.500
O3 O 0.000 0.500 0.000
```

4.
Compound: GaMoAs2Se
Source: Alexandria via LeMat-Bulk
Functional: GGA-PBE
Structure: optimized geometry

Calculated values
Polymorph energy (0 for the lowest one) (meV/atom): 759.7

```
data_GaMoAs2Se
_cell_length_a 4.718
_cell_length_b 4.718
_cell_length_c 4.902
_cell_angle_alpha 90.00
_cell_angle_beta 90.00
_cell_angle_gamma 90.00
_space_group_name_H-M_alt 'P 4/m m m'
_space_group_IT_number 123
_space_group_name_Hall '-P 4 2'
loop_
_atom_site_label
_atom_site_type_symbol
_atom_site_fract_x
_atom_site_fract_y
_atom_site_fract_z
Ga1 Ga 0.000 0.000 0.000
Mo1 Mo 0.500 0.500 0.500
As1 As 0.000 0.500 0.000
Se1 Se 0.000 0.000 0.500
```

5.
Compound: Zr2ScTe
Source: Alexandria via LeMat-Bulk
Functional: GGA-PBE
Structure: optimized geometry

```
data_Zr2ScTe
_cell_length_a 3.5147
_cell_length_b 3.5147
_cell_length_c 27.5264
_cell_angle_alpha 90.00
_cell_angle_beta 90.00
_cell_angle_gamma 120.00
_space_group_name_H-M_alt 'R 3 m'
_space_group_IT_number 160
_space_group_name_Hall 'R 3 -2"'
loop_
_atom_site_label
_atom_site_type_symbol
_atom_site_fract_x
_atom_site_fract_y
_atom_site_fract_z
Zr1 Zr 0.0000 0.0000 0.0000
Zr2 Zr 0.0000 0.0000 0.1765
Sc1 Sc 0.0000 0.0000 0.7556
Te1 Te 0.0000 0.0000 0.5880
```

6.
Compound: LiCeThZn
Source: Alexandria via LeMat-Bulk
Functional: GGA-PBE
Structure: optimized geometry

Calculated values
E_form (meV per atom): 61

```
data_LiCeThZn
_cell_length_a 7.300
_cell_length_b 7.300
_cell_length_c 7.300
_cell_angle_alpha 90.00
_cell_angle_beta 90.00
_cell_angle_gamma 90.00
_space_group_name_H-M_alt 'F -4 3 m'
_space_group_IT_number 216
_space_group_name_Hall 'F -4 2 3'
loop_
_atom_site_label
_atom_site_type_symbol
_atom_site_fract_x
_atom_site_fract_y
_atom_site_fract_z
Li1 Li 0.000 0.000 0.000
Ce1 Ce 0.250 0.250 0.750
Th1 Th 0.250 0.250 0.250
Zn1 Zn 0.000 0.000 0.500
```

7.
Compound: Al2ClO
Source: Alexandria via LeMat-Bulk
Functional: GGA-PBE
Structure: optimized geometry

Calculated values
Polymorph energy (0 for the lowest one) (meV/atom): 0.0

```
data_Al2ClO
_cell_length_a 4.970
_cell_length_b 4.970
_cell_length_c 12.239
_cell_angle_alpha 90.00
_cell_angle_beta 90.00
_cell_angle_gamma 90.00
_space_group_name_H-M_alt 'I -4 2 d'
_space_group_IT_number 122
_space_group_name_Hall 'I -4 2bw'
loop_
_atom_site_label
_atom_site_type_symbol
_atom_site_fract_x
_atom_site_fract_y
_atom_site_fract_z
Al1 Al 0.066 0.250 0.125
Cl1 Cl 0.000 0.000 0.500
O1 O 0.000 0.000 0.000
```

8.
Compound: NbAl2Pb
Source: Alexandria via LeMat-Bulk
Functional: GGA-PBE
Structure: optimized geometry

Calculated values
E_form (meV per atom): 520

```
data_NbAl2Pb
_cell_length_a 7.790
_cell_length_b 7.790
_cell_length_c 5.731
_cell_angle_alpha 90.00
_cell_angle_beta 90.00
_cell_angle_gamma 90.00
_space_group_name_H-M_alt 'I -4 2 d'
_space_group_IT_number 122
_space_group_name_Hall 'I -4 2bw'
loop_
_atom_site_label
_atom_site_type_symbol
_atom_site_fract_x
_atom_site_fract_y
_atom_site_fract_z
Nb1 Nb 0.000 0.000 0.000
Al1 Al 0.228 0.250 0.125
Pb1 Pb 0.000 0.000 0.500
```

9.
Compound: SmY2Th6
Source: Alexandria via LeMat-Bulk
Functional: GGA-PBE
Structure: optimized geometry

Calculated values
E_form (meV per atom): 282

```
data_SmY2Th6
_cell_length_a 11.670
_cell_length_b 7.054
_cell_length_c 9.262
_cell_angle_alpha 90.00
_cell_angle_beta 125.97
_cell_angle_gamma 90.00
_space_group_name_H-M_alt 'C 1 2/m 1'
_space_group_IT_number 12
loop_
_space_group_symop_operation_xyz
'x,y,z'
'-x,-y,-z'
'-x,y,-z'
'x,-y,z'
'x+1/2,y+1/2,z'
'-x+1/2,-y+1/2,-z'
'-x+1/2,y+1/2,-z'
'x+1/2,-y+1/2,z'
loop_
_atom_site_label
_atom_site_type_symbol
_atom_site_fract_x
_atom_site_fract_y
_atom_site_fract_z
Sm1 Sm 0.000 0.000 0.000
Y1 Y 0.206 0.500 0.119
Th1 Th 0.076 0.238 0.353
Th2 Th 0.172 0.500 0.701
```

10.
Compound: ReSiSb2
Source: Alexandria via LeMat-Bulk
Functional: GGA-PBE
Structure: optimized geometry

```
data_ReSiSb2
_cell_length_a 8.953
_cell_length_b 3.390
_cell_length_c 5.341
_cell_angle_alpha 90.00
_cell_angle_beta 99.35
_cell_angle_gamma 90.00
_space_group_name_H-M_alt 'C 1 2/m 1'
_space_group_IT_number 12
loop_
_space_group_symop_operation_xyz
'x,y,z'
'-x,-y,-z'
'-x,y,-z'
'x,-y,z'
'x+1/2,y+1/2,z'
'-x+1/2,-y+1/2,-z'
'-x+1/2,y+1/2,-z'
'x+1/2,-y+1/2,z'
loop_
_atom_site_label
_atom_site_type_symbol
_atom_site_fract_x
_atom_site_fract_y
_atom_site_fract_z
Re1 Re 0.000 0.000 0.000
Si1 Si 0.000 0.500 0.500
Sb1 Sb 0.230 0.500 0.232
```

11.
Compound: LiGdHoCr
Source: Alexandria via LeMat-Bulk
Functional: GGA-PBE
Structure: optimized geometry

Calculated values
E_form (meV per atom): 166

```
data_LiGdHoCr
_cell_length_a 7.189
_cell_length_b 7.189
_cell_length_c 7.189
_cell_angle_alpha 90.00
_cell_angle_beta 90.00
_cell_angle_gamma 90.00
_space_group_name_H-M_alt 'F -4 3 m'
_space_group_IT_number 216
_space_group_name_Hall 'F -4 2 3'
loop_
_atom_site_label
_atom_site_type_symbol
_atom_site_fract_x
_atom_site_fract_y
_atom_site_fract_z
Li1 Li 0.000 0.000 0.000
Gd1 Gd 0.250 0.250 0.750
Ho1 Ho 0.250 0.250 0.250
Cr1 Cr 0.000 0.000 0.500
```

12.
Compound: PuZrIn2
Source: Alexandria via LeMat-Bulk
Functional: GGA-PBE
Structure: optimized geometry

Calculated values
Polymorph energy (0 for the lowest one) (meV/atom): 152.1
E_form (meV per atom): -94

```
data_PuZrIn2
_cell_length_a 3.2400
_cell_length_b 3.2400
_cell_length_c 32.2056
_cell_angle_alpha 90.00
_cell_angle_beta 90.00
_cell_angle_gamma 120.00
_space_group_name_H-M_alt 'R 3 m'
_space_group_IT_number 160
_space_group_name_Hall 'R 3 -2"'
loop_
_atom_site_label
_atom_site_type_symbol
_atom_site_fract_x
_atom_site_fract_y
_atom_site_fract_z
Pu1 Pu 0.0000 0.0000 0.0000
Zr1 Zr 0.0000 0.0000 0.8332
In1 In 0.0000 0.0000 0.2461
In2 In 0.0000 0.0000 0.4203
```

no.,size of the total moment (μB per cell),uncorrected energy (eV/atom)
1,0.00,-5.848
2,0.00,-4.610
3,2.00,-9.315
4,2.90,-4.266
5,0.00,-6.894
6,3.36,-4.075
7,0.00,-4.383
8,0.00,-4.796
9,0.00,-6.626
10,0.00,-5.841
11,16.10,-7.383
12,16.81,-7.183